VASP calculation (PBE) on ErLuMo after structural relaxation.

Output
The formation energy comes out at 1192 meV/atom. The excess energy over the best structure of this formula in the dataset is 0.00 eV/f.u. For the total magnetization, the calculation gives 7.34 μB per cell.

Cell: 6.876 6.876 6.876 Å, 90.00 90.00 90.00°
Space group F-43m (No. 216)
Asymmetric unit:
Er1 0.000 0.000 0.000 [4 per cell]
Lu1 0.250 0.250 0.250 [4 per cell]
Mo1 0.000 0.000 0.500 [4 per cell]



VASP calculation (PBE) on ErLu2N3 after structural relaxation.

Output
For the total magnetization, the calculation gives 0.00 μB per cell. For the total energy, the calculation gives -8.28 eV per atom.

Cell: 3.3696 3.3696 8.2539 Å, 90.00 90.00 120.00°
Space group P-3m1 (No. 164)
Asymmetric unit:
Er1 0.0000 0.0000 0.0000 [1 per cell]
Lu1 0.3333 0.6667 0.3349 [2 per cell]
N1 0.0000 0.0000 0.5000 [1 per cell]
N2 0.3333 0.6667 0.8300 [2 per cell]



VASP calculation (PBE) on Er2LuN3 after structural relaxation.

Output
For the total magnetization, the calculation gives 0.00 μB per cell. For the total energy, the calculation gives -8.25 eV per atom.

Cell: 3.3911 3.3911 8.3047 Å, 90.00 90.00 120.00°
Space group P-3m1 (No. 164)
Asymmetric unit:
Er1 0.3333 0.6667 0.3318 [2 per cell]
Lu1 0.0000 0.0000 0.0000 [1 per cell]
N1 0.0000 0.0000 0.5000 [1 per cell]
N2 0.3333 0.6667 0.8367 [2 per cell]